Version i
{
  "formula": "SrAgMo",
  "functional": "PBE-GGA",
  "state": "optimized geometry",
  "n_ef_per_ev_fu": 3.110,
  "mass_density_g_cm3": 7.2,
  "vol_a3_per_cell": 68,
  "lattice": [[5.158, 0.000, 0.000], [-2.579, 4.467, 0.000], [0.000, 0.000, 2.934]],
  "species": ["Sr", "Ag", "Mo"],
  "fractional_positions": [[0.000, 0.000, 0.000], [0.667, 0.333, 0.498], [0.333, 0.667, 0.502]]
}

---

Version ii
{
  "formula": "SrAgMo",
  "functional": "PBE-GGA",
  "state": "optimized geometry",
  "n_ef_per_ev_fu": 2.706,
  "mass_density_g_cm3": 7.5,
  "vol_a3_per_cell": 65,
  "lattice": [[-1.495, 1.495, 7.229], [1.495, -1.495, 7.229], [1.495, 1.495, -7.229]],
  "species": ["Sr", "Ag", "Mo"],
  "fractional_positions": [[0.000, 0.000, 0.000], [0.684, 0.684, 0.000], [0.322, 0.322, 0.000]]
}

---

Version iii
{
  "formula": "SrAgMo",
  "functional": "PBE-GGA",
  "state": "optimized geometry",
  "n_ef_per_ev_fu": 3.393,
  "mass_density_g_cm3": 6.9,
  "vol_a3_per_cell": 71,
  "lattice": [[-1.492, 2.040, 5.796], [1.492, -2.040, 5.796], [1.492, 2.040, -5.796]],
  "species": ["Sr", "Ag", "Mo"],
  "fractional_positions": [[0.000, 0.000, 0.000], [0.698, 0.698, 0.000], [0.295, 0.295, 0.000]]
}

---

Which structure loses on stability? version i does.

---

Version i
{
  "formula": "SrAgMo",
  "functional": "PBE-GGA",
  "state": "optimized geometry",
  "n_ef_per_ev_fu": 2.002,
  "mass_density_g_cm3": 5.4,
  "vol_a3_per_cell": 90,
  "lattice": [[0.000, 3.556, 3.556], [3.556, 0.000, 3.556], [3.556, 3.556, 0.000]],
  "species": ["Sr", "Ag", "Mo"],
  "fractional_positions": [[0.000, 0.000, 0.000], [0.750, 0.750, 0.750], [0.500, 0.500, 0.500]]
}

---

Version ii
{
  "formula": "SrAgMo",
  "functional": "PBE-GGA",
  "state": "optimized geometry",
  "n_ef_per_ev_fu": 2.546,
  "mass_density_g_cm3": 4.8,
  "vol_a3_per_cell": 100,
  "lattice": [[0.000, 3.686, 3.686], [3.686, 0.000, 3.686], [3.686, 3.686, 0.000]],
  "species": ["Sr", "Ag", "Mo"],
  "fractional_positions": [[0.000, 0.000, 0.000], [0.750, 0.750, 0.750], [0.250, 0.250, 0.250]]
}

---

Which structure loses on stability? version ii does.